Entry from Alexandria: a relaxed structure of Pr5Nd3Dy2 (PBE).

CIF file:
```
data_Pr5Nd3Dy2
_space_group_name_H-M_alt 'C 1 2/m 1'
_space_group_IT_number 12
_cell_length_a 11.766
_cell_length_b 5.599
_cell_length_c 10.988
_cell_angle_alpha 90.00
_cell_angle_beta 98.42
_cell_angle_gamma 90.00
loop_
_space_group_symop_operation_xyz
'x,y,z'
'-x,-y,-z'
'-x,y,-z'
'x,-y,z'
'x+1/2,y+1/2,z'
'-x+1/2,-y+1/2,-z'
'-x+1/2,y+1/2,-z'
'x+1/2,-y+1/2,z'
loop_
_atom_site_label
_atom_site_type_symbol
_atom_site_fract_x
_atom_site_fract_y
_atom_site_fract_z
_atom_site_occupancy
Pr1 Pr 0.000 0.000 0.000 1
Pr2 Pr 0.140 0.000 0.262 1
Pr3 Pr 0.177 0.500 0.447 1
Nd1 Nd 0.000 0.000 0.500 1
Nd2 Nd 0.234 0.500 0.107 1
Dy1 Dy 0.064 0.500 0.774 1
```

Values from the calculation:
For the excess energy over the best structure of this formula in the dataset, the calculation gives 0.0 meV/atom. Its energy of formation from the pure elements is 1.7 eV/f.u.

***

Entry from Alexandria: a relaxed structure of Pr3Nd8Dy (PBE).

CIF file:
```
data_Pr3Nd8Dy
_space_group_name_H-M_alt 'I m m m'
_space_group_IT_number 71
_space_group_name_Hall '-I 2 2'
_cell_length_a 6.689
_cell_length_b 11.506
_cell_length_c 11.749
_cell_angle_alpha 90.00
_cell_angle_beta 90.00
_cell_angle_gamma 90.00
loop_
_atom_site_label
_atom_site_type_symbol
_atom_site_fract_x
_atom_site_fract_y
_atom_site_fract_z
_atom_site_occupancy
Pr1 Pr 0.000 0.000 0.000 1
Pr2 Pr 0.000 0.500 0.244 1
Nd1 Nd 0.000 0.165 0.251 1
Nd2 Nd 0.242 0.260 0.000 1
Dy1 Dy 0.000 0.000 0.500 1
```

Values from the calculation:
Its energy of formation from the pure elements is 3.4 eV/f.u.

***

Entry from Alexandria: a relaxed structure of Pr4Nd6Dy (PBE).

CIF file:
```
data_Pr4Nd6Dy
_space_group_name_H-M_alt 'I -4 2 m'
_space_group_IT_number 121
_space_group_name_Hall 'I -4 2'
_cell_length_a 7.780
_cell_length_b 7.780
_cell_length_c 13.439
_cell_angle_alpha 90.00
_cell_angle_beta 90.00
_cell_angle_gamma 90.00
loop_
_atom_site_label
_atom_site_type_symbol
_atom_site_fract_x
_atom_site_fract_y
_atom_site_fract_z
_atom_site_occupancy
Pr1 Pr 0.230 0.230 0.189 1
Nd1 Nd 0.000 0.500 0.000 1
Nd2 Nd 0.172 0.172 0.422 1
Dy1 Dy 0.000 0.000 0.000 1
```

Values from the calculation:
For the excess energy over the best structure of this formula in the dataset, the calculation gives 76.6 meV/atom. Its energy of formation from the pure elements is 3.8 eV/f.u.

***

Entry from Alexandria: a relaxed structure of PrNd8Dy5 (PBE).

CIF file:
```
data_PrNd8Dy5
_space_group_name_H-M_alt 'P 1'
_space_group_IT_number 1
_cell_length_a 8.625
_cell_length_b 8.681
_cell_length_c 8.692
_cell_angle_alpha 113.21
_cell_angle_beta 98.07
_cell_angle_gamma 117.32
loop_
_space_group_symop_operation_xyz
'x,y,z'
loop_
_atom_site_label
_atom_site_type_symbol
_atom_site_fract_x
_atom_site_fract_y
_atom_site_fract_z
_atom_site_occupancy
Pr1 Pr 0.000 0.000 0.000 1
Nd1 Nd 0.060 0.271 0.782 1
Nd2 Nd 0.110 0.009 0.373 1
Nd3 Nd 0.467 0.869 0.408 1
Nd4 Nd 0.483 0.272 0.217 1
Nd5 Nd 0.633 0.004 0.906 1
Nd6 Nd 0.683 0.385 0.705 1
Nd7 Nd 0.804 0.739 0.535 1
Nd8 Nd 0.946 0.519 0.161 1
Dy1 Dy 0.211 0.744 0.943 1
Dy2 Dy 0.294 0.037 0.749 1
Dy3 Dy 0.358 0.521 0.584 1
Dy4 Dy 0.585 0.645 0.057 1
Dy5 Dy 0.868 0.241 0.376 1
```

Values from the calculation:
Its energy of formation from the pure elements is 2.3 eV/f.u.

***

Entry from Alexandria: a relaxed structure of PrNd2Dy4 (PBE).

CIF file:
```
data_PrNd2Dy4
_space_group_name_H-M_alt 'P -1'
_space_group_IT_number 2
_cell_length_a 6.233
_cell_length_b 6.246
_cell_length_c 6.259
_cell_angle_alpha 99.80
_cell_angle_beta 99.68
_cell_angle_gamma 99.45
loop_
_space_group_symop_operation_xyz
'x,y,z'
'-x,-y,-z'
loop_
_atom_site_label
_atom_site_type_symbol
_atom_site_fract_x
_atom_site_fract_y
_atom_site_fract_z
_atom_site_occupancy
Pr1 Pr 0.000 0.000 0.000 1
Nd1 Nd 0.144 0.287 0.572 1
Dy1 Dy 0.288 0.573 0.142 1
Dy2 Dy 0.430 0.858 0.714 1
```

Values from the calculation:
For the excess energy over the best structure of this formula in the dataset, the calculation gives 0.0 meV/atom. Its energy of formation from the pure elements is 0.1 eV/f.u.

***

Entry from Alexandria: a relaxed structure of Pr3Nd5Dy4 (PBE).

CIF file:
```
data_Pr3Nd5Dy4
_space_group_name_H-M_alt 'C 1 2/m 1'
_space_group_IT_number 12
_cell_length_a 16.348
_cell_length_b 6.058
_cell_length_c 9.403
_cell_angle_alpha 90.00
_cell_angle_beta 116.05
_cell_angle_gamma 90.00
loop_
_space_group_symop_operation_xyz
'x,y,z'
'-x,-y,-z'
'-x,y,-z'
'x,-y,z'
'x+1/2,y+1/2,z'
'-x+1/2,-y+1/2,-z'
'-x+1/2,y+1/2,-z'
'x+1/2,-y+1/2,z'
loop_
_atom_site_label
_atom_site_type_symbol
_atom_site_fract_x
_atom_site_fract_y
_atom_site_fract_z
_atom_site_occupancy
Pr1 Pr 0.000 0.000 0.000 1
Pr2 Pr 0.208 0.500 0.227 1
Nd1 Nd 0.000 0.500 0.000 1
Nd2 Nd 0.076 0.000 0.699 1
Nd3 Nd 0.173 0.000 0.386 1
Dy1 Dy 0.082 0.500 0.442 1
Dy2 Dy 0.211 0.500 0.876 1
```

Values from the calculation:
For the excess energy over the best structure of this formula in the dataset, the calculation gives 200.0 meV/atom. Its energy of formation from the pure elements is 2.6 eV/f.u.

***

Entry from Alexandria: a relaxed structure of Pr3NdDy8 (PBE).

CIF file:
```
data_Pr3NdDy8
_space_group_name_H-M_alt 'I m m m'
_space_group_IT_number 71
_space_group_name_Hall '-I 2 2'
_cell_length_a 6.462
_cell_length_b 11.462
_cell_length_c 11.510
_cell_angle_alpha 90.00
_cell_angle_beta 90.00
_cell_angle_gamma 90.00
loop_
_atom_site_label
_atom_site_type_symbol
_atom_site_fract_x
_atom_site_fract_y
_atom_site_fract_z
_atom_site_occupancy
Pr1 Pr 0.000 0.000 0.000 1
Pr2 Pr 0.000 0.500 0.249 1
Nd1 Nd 0.000 0.000 0.500 1
Dy1 Dy 0.000 0.171 0.250 1
Dy2 Dy 0.250 0.249 0.500 1
```

Values from the calculation:
Its energy of formation from the pure elements is 3.4 eV/f.u.

***

Entry from Alexandria: a relaxed structure of Pr2Nd8Dy (PBE).

CIF file:
```
data_Pr2Nd8Dy
_space_group_name_H-M_alt 'C 1 2/m 1'
_space_group_IT_number 12
_cell_length_a 9.239
_cell_length_b 16.731
_cell_length_c 6.054
_cell_angle_alpha 90.00
_cell_angle_beta 123.35
_cell_angle_gamma 90.00
loop_
_space_group_symop_operation_xyz
'x,y,z'
'-x,-y,-z'
'-x,y,-z'
'x,-y,z'
'x+1/2,y+1/2,z'
'-x+1/2,-y+1/2,-z'
'-x+1/2,y+1/2,-z'
'x+1/2,-y+1/2,z'
loop_
_atom_site_label
_atom_site_type_symbol
_atom_site_fract_x
_atom_site_fract_y
_atom_site_fract_z
_atom_site_occupancy
Pr1 Pr 0.000 0.192 0.000 1
Nd1 Nd 0.000 0.295 0.500 1
Nd2 Nd 0.079 0.000 0.297 1
Nd3 Nd 0.215 0.384 0.178 1
Dy1 Dy 0.000 0.500 0.500 1
```

Values from the calculation:
For the excess energy over the best structure of this formula in the dataset, the calculation gives 18.0 meV/atom. Its energy of formation from the pure elements is 1.5 eV/f.u.